This record from Alexandria describes a relaxed structure of PrIn2Pt9. The functional is PBE.

The structure in extended XYZ format:
```
12
Lattice="2.727 1.574 8.676 -2.727 1.574 8.676 0.000 -3.149 8.676" Properties=species:S:1:pos:R:3 pbc="T T T"
Pr 0.000 0.000 0.000
In 0.000 0.000 3.673
In 0.000 0.000 22.356
Pt -1.383 -0.799 10.901
Pt 0.000 0.000 8.680
Pt 0.000 -1.597 15.128
Pt -1.383 0.799 15.128
Pt 0.000 0.000 13.015
Pt 1.383 -0.799 10.901
Pt 0.000 1.597 10.901
Pt 0.000 0.000 17.349
Pt 1.383 0.799 15.128
```

Computed properties:
SG   No. 166
E_form   -5.9 eV per formula unit



This record from Alexandria describes a relaxed structure of Pr2In9Pt3. The functional is PBE.

The structure in extended XYZ format:
```
28
Lattice="7.244 -4.184 0.000 7.244 4.184 0.000 -4.832 0.000 10.499" Properties=species:S:1:pos:R:3 pbc="T T T"
Pr 1.224 0.701 2.639
Pr -1.192 -0.701 7.889
Pr 10.847 0.701 2.610
Pr 8.431 -0.701 7.860
In 6.032 3.555 0.783
In 6.040 3.555 4.466
In 1.153 0.726 6.041
In 4.468 1.593 2.634
In 1.157 0.732 9.818
In 3.569 -0.726 0.792
In 3.620 1.117 7.874
In 7.604 1.593 2.616
In 3.573 -0.732 4.569
In 6.083 0.732 5.930
In 2.052 -1.593 7.883
In 6.036 -1.117 2.625
In 6.087 0.726 9.708
In 8.499 -0.732 0.681
In 5.188 -1.593 7.865
In 8.503 -0.726 4.458
In 3.616 -3.555 6.033
In 3.624 -3.555 9.716
Pt 3.622 2.092 0.000
Pt 3.621 2.092 5.247
Pt 8.451 2.092 0.003
Pt 1.206 -2.092 5.250
Pt 1.205 -2.092 10.496
Pt 6.035 -2.092 5.253
```

Computed properties:
SG   No. 15
E_form   -6.9 eV per formula unit